1.
## Tm3AuN (PBE)

Data for a relaxed structure of Tm3AuN.

## Properties
Energy relative to the elements, uncorrected, eV per formula unit: -5.1
Electronic total energy, eV per formula unit: -30.16
Magnetization, μB/atom: 0.00

The structure in POSCAR format:
```
Tm3AuN
1.0
4.672 0.000 0.000
0.000 4.672 0.000
0.000 0.000 4.672
Tm Au N
3 1 1
direct
0.000 0.500 0.000 Tm
0.500 0.000 0.000 Tm
0.000 0.000 0.500 Tm
0.500 0.500 0.500 Au
0.000 0.000 0.000 N
```

2.
## V3AuN (PBE)

Data for a relaxed structure of V3AuN.

## Properties
Energy relative to the elements, uncorrected, eV per formula unit: -2.8
Electronic total energy, eV per formula unit: -41.71
Magnetization, μB/atom: 0.00

The structure in POSCAR format:
```
V3AuN
1.0
-3.440 3.430 0.697
-4.291 -2.064 -1.187
-0.632 -1.697 5.236
V Au N
6 2 2
direct
0.815 0.605 0.410 V
0.315 0.106 0.410 V
0.314 0.606 0.647 V
0.815 0.605 0.885 V
0.315 0.106 0.885 V
0.816 0.105 0.647 V
0.815 0.105 0.147 Au
0.315 0.606 0.147 Au
0.065 0.355 0.647 N
0.565 0.855 0.647 N
```

3.
## V3AuN (PBE)

Data for a relaxed structure of V3AuN.

## Properties
Energy relative to the elements, uncorrected, eV per formula unit: -2.9
Electronic total energy, eV per formula unit: -41.84
Magnetization, μB/atom: 0.05

The structure in POSCAR format:
```
V3AuN
1.0
-1.976 5.786 1.697
-5.368 1.206 -1.092
-1.041 -1.402 3.569
V N Au
6 2 2
direct
0.927 0.111 0.237 V
0.683 0.983 0.737 V
0.927 0.611 0.237 V
0.427 0.873 0.237 V
0.427 0.348 0.237 V
0.171 0.239 0.737 V
0.680 0.984 0.237 N
0.174 0.237 0.237 N
0.176 0.737 0.737 Au
0.679 0.485 0.737 Au
```

4.
## V3AuN (PBE)

Data for a relaxed structure of V3AuN.

## Properties
Energy relative to the elements, uncorrected, eV per formula unit: -1.9
Electronic total energy, eV per formula unit: -40.90
Magnetization, μB/atom: 0.00

The structure in POSCAR format:
```
V3AuN
1.0
-9.059 -6.813 12.420
-4.771 -0.651 1.757
3.353 -1.059 -3.730
Au V N
2 6 2
direct
0.558 0.052 0.948 Au
0.442 0.948 0.052 Au
0.988 0.655 0.345 V
0.299 0.864 0.136 V
0.701 0.136 0.864 V
0.199 0.718 0.282 V
0.801 0.282 0.718 V
0.012 0.345 0.655 V
0.879 0.986 0.014 N
0.121 0.014 0.986 N
```

5.
## V3AuN (PBE)

Data for a relaxed structure of V3AuN.

## Properties
Energy relative to the elements, uncorrected, eV per formula unit: -1.8
Electronic total energy, eV per formula unit: -40.78
Magnetization, μB/atom: 0.00

The structure in POSCAR format:
```
V3AuN
1.0
17.262 0.000 -2.270
0.000 5.178 0.000
-6.175 0.000 3.683
N V Au
4 12 4
direct
0.608 0.126 0.076 N
0.108 0.374 0.576 N
0.392 0.874 0.924 N
0.892 0.626 0.424 N
0.835 0.295 0.836 V
0.773 0.944 0.254 V
0.273 0.556 0.754 V
0.727 0.444 0.246 V
0.541 0.780 0.036 V
0.959 0.280 0.464 V
0.041 0.720 0.536 V
0.665 0.795 0.664 V
0.335 0.205 0.336 V
0.165 0.705 0.164 V
0.227 0.056 0.746 V
0.459 0.220 0.964 V
0.420 0.715 0.419 Au
0.080 0.215 0.081 Au
0.580 0.285 0.581 Au
0.920 0.785 0.919 Au
```

6.
## V3AuN (PBE)

Data for a relaxed structure of V3AuN.

## Properties
Energy relative to the elements, uncorrected, eV per formula unit: -1.6
Electronic total energy, eV per formula unit: -40.61
Magnetization, μB/atom: 0.00

The structure in POSCAR format:
```
V3AuN
1.0
-4.895 -1.917 4.498
-3.076 2.813 5.522
-6.389 2.107 1.615
V Au N
6 2 2
direct
0.233 0.539 0.877 V
0.767 0.461 0.123 V
0.539 0.877 0.233 V
0.123 0.767 0.461 V
0.461 0.123 0.767 V
0.877 0.233 0.539 V
0.337 0.337 0.337 Au
0.663 0.663 0.663 Au
0.161 0.161 0.161 N
0.839 0.839 0.839 N
```

> What is the formula in the fifth record?

V3AuN

> electronic total energy of number 4 (V3AuN)?

-40.90 eV per formula unit